1.
A geometry-optimized CaCu3Ir4O12 structure. Source: Alexandria via LeMat-Bulk, functional PBEsol.

Unit cell a=6.442 b=6.442 c=6.442 alpha=109.47 beta=109.47 gamma=109.47
Positions (direct):
Ca: 0.000 0.000 0.000
Cu: 0.000 0.500 0.500
Cu: 0.500 0.000 0.500
Cu: 0.500 0.500 0.000
Ir: 0.000 0.000 0.500
Ir: 0.000 0.500 0.000
Ir: 0.500 0.000 0.000
Ir: 0.500 0.500 0.500
O: 0.137 0.832 0.306
O: 0.168 0.306 0.474
O: 0.168 0.694 0.863
O: 0.306 0.137 0.832
O: 0.306 0.474 0.168
O: 0.474 0.168 0.306
O: 0.526 0.832 0.694
O: 0.694 0.526 0.832
O: 0.694 0.863 0.168
O: 0.832 0.306 0.137
O: 0.832 0.694 0.526
O: 0.863 0.168 0.694

Space-group type: Im-3, No. 204
Uncorrected energy in eV per formula unit: -135.7

2.
A geometry-optimized TlTc2Sb structure. Source: Alexandria via LeMat-Bulk, functional PBEsol.

Unit cell a=5.223 b=5.223 c=5.223 alpha=135.08 beta=135.08 gamma=65.40
Positions (direct):
Tl: 0.000 0.000 0.000
Tc: 0.250 0.750 0.500
Tc: 0.500 0.500 0.000
Sb: 0.750 0.250 0.500

Space-group type: I-4m2, No. 119
Distance to the lowest polymorph of the same formula in eV per atom: 0.036

3.
A geometry-optimized HfCu3S structure. Source: Alexandria via LeMat-Bulk, functional PBEsol.

Unit cell a=4.769 b=4.769 c=4.769 alpha=90.00 beta=90.00 gamma=90.00
Positions (direct):
Hf: 0.000 0.000 0.000
Cu: 0.000 0.000 0.500
Cu: 0.000 0.500 0.000
Cu: 0.500 0.000 0.000
S: 0.500 0.500 0.500

Space-group type: Pm-3m, No. 221
Uncorrected energy in eV per formula unit: -19.7

4.
A geometry-optimized KAg2Au structure. Source: Alexandria via LeMat-Bulk, functional PBEsol.

Unit cell a=5.421 b=5.421 c=2.877 alpha=90.00 beta=90.00 gamma=111.19
Positions (direct):
K: 0.000 0.000 0.000
Ag: 0.000 0.500 0.500
Ag: 0.500 0.000 0.500
Au: 0.500 0.500 0.000

Space-group type: Cmmm, No. 65
Distance to the lowest polymorph of the same formula in eV per atom: 0.122
Energy relative to the elements in eV/atom: 0.238

5.
A geometry-optimized HfCr2B2 structure. Source: Alexandria via LeMat-Bulk, functional PBEsol.

Unit cell a=4.642 b=4.642 c=4.642 alpha=131.16 beta=131.16 gamma=71.56
Positions (direct):
Hf: 0.000 0.000 0.000
Cr: 0.345 0.345 0.000
Cr: 0.655 0.655 0.000
B: 0.250 0.750 0.500
B: 0.750 0.250 0.500

Space-group type: I4/mmm, No. 139
Energy relative to the elements in eV/atom: -0.133

6.
A geometry-optimized LiCo2Re structure. Source: Alexandria via LeMat-Bulk, functional PBEsol.

Unit cell a=4.283 b=4.283 c=2.573 alpha=90.00 beta=90.00 gamma=102.53
Positions (direct):
Li: 0.000 0.000 0.000
Co: 0.000 0.500 0.500
Co: 0.500 0.000 0.500
Re: 0.500 0.500 0.000

Space-group type: Cmmm, No. 65
Distance to the lowest polymorph of the same formula in eV per atom: 0.025
Energy relative to the elements in eV/atom: 0.202

7.
A geometry-optimized Hg2Te2Br structure. Source: Alexandria via LeMat-Bulk, functional PBEsol.

Unit cell a=8.129 b=8.129 c=8.129 alpha=148.95 beta=148.95 gamma=44.48
Positions (direct):
Hg: 0.090 0.090 0.000
Hg: 0.910 0.910 0.000
Te: 0.250 0.750 0.500
Te: 0.750 0.250 0.500
Br: 0.500 0.500 0.000

Space-group type: I4/mmm, No. 139
Uncorrected energy in eV per formula unit: -9.9

8.
A geometry-optimized AgPOs2 structure. Source: Alexandria via LeMat-Bulk, functional PBEsol.

Unit cell a=2.783 b=4.508 c=4.636 alpha=90.00 beta=90.00 gamma=90.00
Positions (direct):
Ag: 0.000 0.000 0.000
P: 0.500 0.000 0.500
Os: 0.000 0.500 0.500
Os: 0.500 0.500 0.000

Space-group type: Pmmm, No. 47
Energy relative to the elements in eV/atom: 0.822

9.
A geometry-optimized CaTaP2H structure. Source: Alexandria via LeMat-Bulk, functional PBEsol.

Unit cell a=4.956 b=4.956 c=5.152 alpha=90.00 beta=90.00 gamma=90.00
Positions (direct):
Ca: 0.000 0.000 0.000
Ta: 0.000 0.000 0.500
P: 0.000 0.500 0.000
P: 0.500 0.000 0.000
H: 0.500 0.500 0.500

Space-group type: P4/mmm, No. 123
Uncorrected energy in eV per formula unit: -17.9

10.
A geometry-optimized ScFeRu structure. Source: Alexandria via LeMat-Bulk, functional PBEsol.

Unit cell a=4.163 b=4.163 c=4.163 alpha=60.00 beta=60.00 gamma=60.00
Positions (direct):
Sc: 0.000 0.000 0.000
Fe: 0.750 0.750 0.750
Ru: 0.250 0.250 0.250

Space-group type: F-43m, No. 216
Energy relative to the elements in eV/atom: 0.897

11.
A geometry-optimized KTe2Rh structure. Source: Alexandria via LeMat-Bulk, functional PBEsol.

Unit cell a=4.551 b=6.857 c=6.857 alpha=38.08 beta=90.00 gamma=90.00
Positions (direct):
K: 0.000 0.000 0.000
Te: 0.000 0.294 0.294
Te: 0.500 0.623 0.623
Rh: 0.500 0.212 0.212

Space-group type: Amm2, No. 38
Uncorrected energy in eV per formula unit: -17.6

12.
A geometry-optimized ZnCuP2 structure. Source: Alexandria via LeMat-Bulk, functional PBEsol.

Unit cell a=2.684 b=2.684 c=8.942 alpha=90.00 beta=90.00 gamma=121.81
Positions (direct):
Zn: 0.000 0.000 0.000
Cu: 0.500 0.500 0.236
P: 0.000 0.000 0.459
P: 0.500 0.500 0.754

Space-group type: Cmm2, No. 35
Energy relative to the elements in eV/atom: 0.278